Here is crystalline PmZrN at its relaxed geometry from the Alexandria database. Energies are from PBE-GGA.

As for the magnetic moment: 0.0 μB/f.u. As for the energy relative to the elements, uncorrected: -0.96 eV per atom. The calculation puts the polymorph energy (0 for the lowest one) at 0 meV/atom.

It has space group Pnma (No. 62), with a = 11.682 Å, b = 3.464 Å, c = 5.695 Å, α = 90.00°, β = 90.00° and γ = 90.00°. The distinct sites, in fractional coordinates, are Pm at (0.024, 0.250, 0.244), Zr at (0.224, 0.250, 0.840) and N at (0.147, 0.750, 0.034).

=====

Here is crystalline Pm5ZrN6 at its relaxed geometry from the Alexandria database. Energies are from PBE-GGA.

As for the magnetic moment: 0.0 μB/f.u. As for the energy relative to the elements, uncorrected: -1.49 eV per atom.

It has space group C2/m (No. 12), with a = 6.146 Å, b = 10.638 Å, c = 6.137 Å, α = 90.00°, β = 109.47° and γ = 90.00°. The distinct sites, in fractional coordinates, are Pm at (0.000, 0.000, 0.000), Pm at (0.000, 0.167, 0.500), Pm at (0.000, 0.335, 0.000), Zr at (0.000, 0.500, 0.500), N at (0.233, 0.500, 0.260) and N at (0.235, 0.344, 0.737).

=====

Here is crystalline PmZr2N at its relaxed geometry from the Alexandria database. Energies are from PBE-GGA.

As for the magnetic moment: 0.0 μB/f.u. As for the energy relative to the elements, uncorrected: -0.65 eV per atom.

It has space group R-3m (No. 166, hexagonal axes), with a = 3.3085 Å, b = 3.3085 Å, c = 26.6887 Å, α = 90.00°, β = 90.00° and γ = 120.00°. The distinct sites, in fractional coordinates, are Pm at (0.0000, 0.0000, 0.0000), Zr at (0.0000, 0.0000, 0.1206) and N at (0.0000, 0.0000, 0.5000).